UTl3Cr2Se6 (PBE, optimized geometry); total DFT energy (no corrections) = -66.1 eV/f.u.; ΔE_f (raw) = -7.570 eV per formula unit; space group = C2/m; mass density = 7.68 g/cm³
1.0
-4.8124 3.9848 2.3452
3.5296 -3.7918 4.2073
5.7557 5.8498 -1.3546
U Tl Cr Se
1 3 2 6
direct
0.0000 0.0000 0.0000
0.1610 0.8390 0.5000
0.8390 0.1610 0.5000
0.5000 0.5000 0.5000
0.3333 0.6667 0.0000
0.6667 0.3333 0.0000
0.9370 0.5806 0.8125
0.7059 0.7059 0.1844
0.0630 0.4194 0.1875
0.5806 0.9370 0.8125
0.2941 0.2941 0.8156
0.4194 0.0630 0.1875